# CrGaHg2O

CrGaHg2O after structural relaxation (GGA+U, Alexandria).

Cell and atoms, written as extended XYZ:
```
5
Lattice="5.609 0.000 0.000 0.000 3.630 0.000 0.000 0.000 5.609" Properties=species:S:1:pos:R:3 pbc="T T T"
O 0.000 1.815 0.000
Cr 2.804 1.815 2.804
Hg 0.000 0.000 2.804
Hg 2.804 0.000 0.000
Ga 0.000 0.000 0.000
```

Output
Calculated volume in Å³ per cell: 114.20
M_tot in μB per atom: 0.98
VASP energy in eV/atom: -3.2145